Below is an optimized crystal structure of LaIn3, with properties calculated at the PBEsol level.

Computed properties:
* formation energy from the elements: -0.52 eV/atom

Lattice parameters (Å, degrees): 4.695 4.695 4.695 90.00 90.00 90.00
Sites, in units of the cell vectors:
In 0.000 0.500 0.500
La 0.000 0.000 0.000
In 0.500 0.000 0.500
In 0.500 0.500 0.000